DFT (GGA-PBE) results for a relaxed structure of La2Tb6Y3Tm.

Summary:
Its spin magnetization is 0.00 μB per cell. For the calculated total energy, the calculation gives -5.103 eV/atom.

abc: 6.2179 6.2179 11.9008
angles: 94.99 94.99 120.00
Last column: nearest neighbours and their distance in Å.
Fractional positions:
La 0.1663 0.8337 0.0000  3 La 3.58-3.59, 3 Tm 3.59, 6 Tb 3.62
La 0.8337 0.1663 0.0000  3 La 3.58-3.59, 3 Tm 3.59, 6 Tb 3.62
Tb 0.0839 0.4155 0.7472  3 Y 3.56-3.57, 6 Tb 3.57-3.60, 1 Tm 3.61, 2 La 3.62
Tb 0.2529 0.2529 0.2531  3 Y 3.55-3.57, 6 Tb 3.57-3.60, 1 Tm 3.61, 2 La 3.62
Tb 0.4155 0.0839 0.7472  3 Y 3.56-3.57, 6 Tb 3.57-3.60, 1 Tm 3.61, 2 La 3.62
Tb 0.5845 0.9161 0.2528  3 Y 3.56-3.57, 6 Tb 3.57-3.60, 1 Tm 3.61, 2 La 3.62
Tb 0.7471 0.7471 0.7469  3 Y 3.55-3.57, 6 Tb 3.57-3.60, 1 Tm 3.61, 2 La 3.62
Tb 0.9161 0.5845 0.2528  3 Y 3.56-3.57, 6 Tb 3.57-3.60, 1 Tm 3.61, 2 La 3.62
Y 0.0000 0.0000 0.5000  6 Tb 3.56-3.57, 6 Y 3.59
Y 0.3338 0.6662 0.5000  6 Tb 3.55-3.57, 6 Y 3.58-3.59
Y 0.6662 0.3338 0.5000  6 Tb 3.55-3.57, 6 Y 3.58-3.59
Tm 0.5000 0.5000 0.0000  6 La 3.59, 6 Tb 3.61